(1)
# B3SbW

Crystalline B3SbW at its relaxed geometry (GGA-PBE, Alexandria).

Properties
The value obtained for the energy above the most stable polymorph in this dataset is 141.02 kJ per mole of atoms. The crystal system is cubic. The volume is 78.9 Å³/cell. The value obtained for the total energy is -0.1690 Ha/atom. As for the uncorrected formation energy: 2.823 eV/atom.

The structure in CIF format:
```
data_B3SbW
_chemical_formula_sum 'B3 Sb1 W1'
_symmetry_space_group_name_H-M 'P m -3 m'
_symmetry_Int_Tables_number 221
_symmetry_space_group_name_Hall '-P 4 2 3'
_cell_length_a 4.2892
_cell_length_b 4.2892
_cell_length_c 4.2892
_cell_angle_alpha 90.00
_cell_angle_beta 90.00
_cell_angle_gamma 90.00
loop_
_atom_site_label
_atom_site_fract_x
_atom_site_fract_y
_atom_site_fract_z
B1 0.0000 0.0000 0.5000
Sb1 0.0000 0.0000 0.0000
W1 0.5000 0.5000 0.5000
```

---

(2)
# BSb2W

Crystalline BSb2W at its relaxed geometry (GGA-PBE, Alexandria).

Properties
The crystal system is tetragonal. The volume is 374.0 Å³/cell. The value obtained for the total energy is -0.2153 Ha/atom. As for the uncorrected formation energy: 1.109 eV/atom.

The structure in CIF format:
```
data_BSb2W
_chemical_formula_sum 'B4 Sb8 W4'
_symmetry_space_group_name_H-M 'I -4 2 d'
_symmetry_Int_Tables_number 122
_symmetry_space_group_name_Hall 'I -4 2bw'
_cell_length_a 6.0460
_cell_length_b 6.0460
_cell_length_c 10.2303
_cell_angle_alpha 90.00
_cell_angle_beta 90.00
_cell_angle_gamma 90.00
loop_
_atom_site_label
_atom_site_fract_x
_atom_site_fract_y
_atom_site_fract_z
B1 0.0000 0.0000 0.0000
Sb1 0.1928 0.2500 0.1250
W1 0.0000 0.0000 0.5000
```

---

(3)
# YB3Sb

Crystalline YB3Sb at its relaxed geometry (GGA-PBE, Alexandria).

Properties
The value obtained for the energy above the most stable polymorph in this dataset is 57.85 kJ per mole of atoms. The crystal system is cubic. The volume is 102.5 Å³/cell. The value obtained for the total energy is -0.1497 Ha/atom. As for the uncorrected formation energy: 2.051 eV/atom.

The structure in CIF format:
```
data_YB3Sb
_chemical_formula_sum 'Y1 B3 Sb1'
_symmetry_space_group_name_H-M 'P m -3 m'
_symmetry_Int_Tables_number 221
_symmetry_space_group_name_Hall '-P 4 2 3'
_cell_length_a 4.6793
_cell_length_b 4.6793
_cell_length_c 4.6793
_cell_angle_alpha 90.00
_cell_angle_beta 90.00
_cell_angle_gamma 90.00
loop_
_atom_site_label
_atom_site_fract_x
_atom_site_fract_y
_atom_site_fract_z
Y1 0.0000 0.0000 0.0000
B1 0.0000 0.0000 0.5000
Sb1 0.5000 0.5000 0.5000
```

---

(4)
# YBSb2

Crystalline YBSb2 at its relaxed geometry (GGA-PBE, Alexandria).

Properties
The crystal system is tetragonal. The volume is 375.9 Å³/cell. The value obtained for the total energy is -0.1990 Ha/atom. As for the uncorrected formation energy: -0.070 eV/atom.

The structure in CIF format:
```
data_YBSb2
_chemical_formula_sum 'Y4 B4 Sb8'
_symmetry_space_group_name_H-M 'I -4 2 d'
_symmetry_Int_Tables_number 122
_symmetry_space_group_name_Hall 'I -4 2bw'
_cell_length_a 7.0953
_cell_length_b 7.0953
_cell_length_c 7.4670
_cell_angle_alpha 90.00
_cell_angle_beta 90.00
_cell_angle_gamma 90.00
loop_
_atom_site_label
_atom_site_fract_x
_atom_site_fract_y
_atom_site_fract_z
Y1 0.0000 0.0000 0.0000
B1 0.0000 0.0000 0.5000
Sb1 0.1595 0.7500 0.6250
```